[1]
## ZrP2S2 (GGA-PBE)

Data for an optimized crystal structure of ZrP2S2.

Unit cell a=4.8843 b=4.8843 c=5.3153 alpha=90.00 beta=90.00 gamma=90.00
Each line ends with the local moment (μB).
Fractional coordinates of all 5 atoms:
1 P 0.0000 0.0000 0.5000  -0.28
2 Zr 0.0000 0.0000 0.0000  0.06
3 S 0.5000 0.0000 0.0000  -0.05
4 P 0.5000 0.5000 0.5000  0.75
5 S 0.0000 0.5000 0.0000  -0.05

Calculated values
Fermi-level density of states = 0.89 states/eV per atom
spin magnetization = 0.94 μB/f.u.
raw formation energy = 0.385 eV per atom
symmetry = P4/mmm, No. 123
final energy = -5.14 eV/atom

---

[2]
## ZrPS (GGA-PBE)

Data for an optimized crystal structure of ZrPS.

Unit cell a=3.6005 b=3.6005 c=8.3238 alpha=102.49 beta=102.49 gamma=90.00
Fractional coordinates of all 6 atoms:
1 S 0.8096 0.8096 0.6192
2 Zr 0.6309 0.6309 0.2618
3 P 0.0000 0.5000 0.0000
4 S 0.1904 0.1904 0.3808
5 P 0.5000 0.0000 0.0000
6 Zr 0.3691 0.3691 0.7382

Calculated values
Fermi-level density of states = 0.57 states/eV per atom
spin magnetization = 0.00 μB/f.u.
raw formation energy = -1.108 eV per atom
symmetry = I4/mmm, No. 139
final energy = -7.14 eV/atom

---

[3]
## ZrP2S2 (GGA-PBE)

Data for an optimized crystal structure of ZrP2S2.

Unit cell a=4.4694 b=4.4694 c=4.4463 alpha=90.00 beta=90.00 gamma=90.00
Fractional coordinates of all 5 atoms:
1 P 0.0000 0.0000 0.0000
2 Zr 0.5000 0.5000 0.5000
3 P 0.0000 0.0000 0.5000
4 S 0.0000 0.5000 0.0000
5 S 0.5000 0.0000 0.0000

Calculated values
Fermi-level density of states = 0.56 states/eV per atom
spin magnetization = 0.00 μB/f.u.
raw formation energy = 0.071 eV per atom
symmetry = P4/mmm, No. 123
final energy = -5.45 eV/atom

---

[4]
## ZrP3S (GGA-PBE)

Data for an optimized crystal structure of ZrP3S.

Unit cell a=5.0161 b=5.0161 c=5.0161 alpha=90.00 beta=90.00 gamma=90.00
Each line ends with the local moment (μB).
Fractional coordinates of all 5 atoms:
1 Zr 0.0000 0.0000 0.0000  0.06
2 S 0.5000 0.5000 0.5000  0.57
3 P 0.5000 0.0000 0.0000  0.01
4 P 0.0000 0.5000 0.0000  0.00
5 P 0.0000 0.0000 0.5000  -0.03

Calculated values
Fermi-level density of states = 0.75 states/eV per atom
spin magnetization = 0.96 μB/f.u.
raw formation energy = 0.813 eV per atom
symmetry = Pm-3m, No. 221
final energy = -4.97 eV/atom

---

[5]
## ZrPS (GGA-PBE)

Data for an optimized crystal structure of ZrPS.

Unit cell a=3.6045 b=3.6045 c=7.9160 alpha=90.00 beta=90.00 gamma=90.00
Fractional coordinates of all 6 atoms:
1 P 0.5000 0.5000 0.0000
2 S 0.0000 0.5000 0.3759
3 Zr 0.5000 0.0000 0.2561
4 S 0.5000 0.0000 0.6241
5 P 0.0000 0.0000 0.0000
6 Zr 0.0000 0.5000 0.7439

Calculated values
Fermi-level density of states = 0.23 states/eV per atom
spin magnetization = 0.00 μB/f.u.
raw formation energy = -1.220 eV per atom
symmetry = P4/nmm, No. 129
final energy = -7.25 eV/atom

---

[6]
## SbP2 (GGA-PBE)

Data for an optimized crystal structure of SbP2.

Unit cell a=3.3215 b=3.3215 c=12.9260 alpha=90.00 beta=90.00 gamma=120.00
Fractional coordinates of all 6 atoms:
1 Sb 0.0000 0.0000 0.7500
2 P 0.3333 0.6667 0.5480
3 P 0.3333 0.6667 0.9520
4 P 0.6667 0.3333 0.4520
5 P 0.6667 0.3333 0.0480
6 Sb 0.0000 0.0000 0.2500

Calculated values
Fermi-level density of states = 0.65 states/eV per atom
spin magnetization = 0.00 μB/f.u.
raw formation energy = 0.210 eV per atom
symmetry = P6_3/mmc, No. 194
final energy = -4.77 eV/atom

---

[7]
## SbP (GGA-PBE)

Data for an optimized crystal structure of SbP.

Unit cell a=6.5006 b=6.5006 c=6.5006 alpha=145.07 beta=145.07 gamma=50.23
Fractional coordinates of all 4 atoms:
1 Sb 0.5000 0.5000 0.0000
2 Sb 0.2500 0.7500 0.5000
3 P 0.7500 0.2500 0.5000
4 P 0.0000 0.0000 0.0000

Calculated values
Fermi-level density of states = 0.70 states/eV per atom
spin magnetization = 0.00 μB/f.u.
raw formation energy = 0.547 eV per atom
symmetry = I4_1/amd, No. 141
final energy = -4.22 eV/atom

---

[8]
## SbP2 (GGA-PBE)

Data for an optimized crystal structure of SbP2.

Unit cell a=4.1874 b=5.1949 c=6.5189 alpha=90.00 beta=90.00 gamma=90.00
Fractional coordinates of all 6 atoms:
1 P 0.0000 0.1668 0.5949
2 P 0.5000 0.6668 0.9051
3 P 0.0000 0.8332 0.4051
4 Sb 0.5000 0.5000 0.5000
5 Sb 0.0000 0.0000 0.0000
6 P 0.5000 0.3332 0.0949

Calculated values
Fermi-level density of states = 0.20 states/eV per atom
spin magnetization = 0.00 μB/f.u.
raw formation energy = 0.169 eV per atom
symmetry = Pnnm, No. 58
final energy = -4.81 eV/atom

---

[9]
## SbP (GGA-PBE)

Data for an optimized crystal structure of SbP.

Unit cell a=3.4188 b=5.0241 c=4.9314 alpha=90.00 beta=90.00 gamma=90.00
Fractional coordinates of all 4 atoms:
1 P 0.0000 0.7500 0.7145
2 Sb 0.5000 0.7500 0.2677
3 P 0.0000 0.2500 0.2855
4 Sb 0.5000 0.2500 0.7323

Calculated values
Fermi-level density of states = 0.47 states/eV per atom
spin magnetization = 0.00 μB/f.u.
raw formation energy = 0.482 eV per atom
symmetry = Pmma, No. 51
final energy = -4.28 eV/atom

---

[10]
## SbP (GGA-PBE)

Data for an optimized crystal structure of SbP.

Unit cell a=3.2970 b=3.2970 c=8.6337 alpha=90.00 beta=90.00 gamma=90.00
Fractional coordinates of all 4 atoms:
1 P 0.5000 0.0000 0.4747
2 Sb 0.0000 0.5000 0.8239
3 P 0.0000 0.5000 0.5253
4 Sb 0.5000 0.0000 0.1761

Calculated values
Fermi-level density of states = 0.46 states/eV per atom
spin magnetization = 0.00 μB/f.u.
raw formation energy = 0.139 eV per atom
symmetry = P4/nmm, No. 129
final energy = -4.63 eV/atom

---

[11]
## SbP (GGA-PBE)

Data for an optimized crystal structure of SbP.

Unit cell a=4.7800 b=4.7800 c=5.8918 alpha=90.00 beta=90.00 gamma=120.00
Fractional coordinates of all 4 atoms:
1 P 0.3333 0.6667 0.3208
2 P 0.6667 0.3333 0.8208
3 Sb 0.6667 0.3333 0.2612
4 Sb 0.3333 0.6667 0.7612

Calculated values
Fermi-level density of states = 0.43 states/eV per atom
spin magnetization = 0.00 μB/f.u.
raw formation energy = 0.279 eV per atom
symmetry = P6_3mc, No. 186
final energy = -4.49 eV/atom

---

[12]
## SbP2 (GGA-PBE)

Data for an optimized crystal structure of SbP2.

Unit cell a=6.5251 b=6.5251 c=6.5251 alpha=90.00 beta=90.00 gamma=90.00
Fractional coordinates of all 12 atoms:
1 P 0.0945 0.9055 0.5945
2 Sb 0.0000 0.0000 0.0000
3 P 0.4055 0.4055 0.5945
4 P 0.5945 0.5945 0.4055
5 Sb 0.5000 0.0000 0.5000
6 P 0.9055 0.4055 0.9055
7 Sb 0.5000 0.5000 0.0000
8 P 0.5945 0.9055 0.9055
9 P 0.0945 0.5945 0.0945
10 P 0.9055 0.0945 0.4055
11 P 0.4055 0.0945 0.0945
12 Sb 0.0000 0.5000 0.5000

Calculated values
Fermi-level density of states = 0.40 states/eV per atom
spin magnetization = 0.00 μB/f.u.
raw formation energy = 0.144 eV per atom
symmetry = Pa-3, No. 205
final energy = -4.84 eV/atom